Compound: MgPH6NO5
Source: the Alexandria database
Functional: PBE
Structure: optimized geometry

Structure (POSCAR):
```
MgPH6NO5
1.0
-3.077 3.772 -2.352
-2.615 -4.774 -4.234
-7.352 -1.859 6.637
Mg P H N O
2 2 12 2 10
Direct
0.438 0.000 0.394
0.938 0.500 0.606
0.018 0.000 0.266
0.518 0.500 0.734
0.684 0.000 0.015
0.184 0.500 0.985
0.053 0.381 0.368
0.553 0.119 0.632
0.553 0.881 0.632
0.053 0.619 0.368
0.186 0.000 0.066
0.686 0.500 0.934
0.506 0.446 0.200
0.006 0.054 0.800
0.006 0.946 0.800
0.506 0.554 0.200
0.491 0.000 0.009
0.991 0.500 0.991
0.486 0.000 0.586
0.986 0.500 0.414
0.017 0.000 0.107
0.517 0.500 0.893
0.169 0.176 0.319
0.669 0.324 0.681
0.669 0.676 0.681
0.169 0.824 0.319
0.747 0.000 0.303
0.247 0.500 0.697
```

Values from the calculation:
- VASP energy (eV per atom) = -5.36
- magnetic moment (μB/atom) = 0.144

Compound: MgP2H10N2O8
Source: the Alexandria database
Functional: PBE
Structure: optimized geometry

Structure (POSCAR):
```
MgP2H10N2O8
1.0
-10.088 1.375 2.381
-0.002 -5.572 3.209
3.301 3.331 12.059
Mg P H N O
4 8 40 8 32
Direct
0.308 0.949 0.651
0.808 0.051 0.849
0.692 0.051 0.349
0.192 0.949 0.151
0.032 0.728 0.605
0.532 0.272 0.895
0.968 0.272 0.395
0.468 0.728 0.105
0.313 0.958 0.916
0.813 0.042 0.584
0.687 0.042 0.084
0.187 0.958 0.416
0.462 0.693 0.930
0.962 0.307 0.570
0.538 0.307 0.070
0.038 0.693 0.430
0.811 0.679 0.615
0.311 0.321 0.885
0.189 0.321 0.385
0.689 0.679 0.115
0.062 0.953 0.901
0.562 0.047 0.599
0.938 0.047 0.099
0.438 0.953 0.401
0.040 0.919 0.784
0.540 0.081 0.716
0.960 0.081 0.216
0.460 0.919 0.284
0.176 0.351 0.629
0.676 0.649 0.871
0.824 0.649 0.371
0.324 0.351 0.129
0.286 0.363 0.542
0.786 0.637 0.958
0.714 0.637 0.458
0.214 0.363 0.042
0.445 0.595 0.740
0.945 0.405 0.760
0.555 0.405 0.260
0.055 0.595 0.240
0.354 0.509 0.660
0.854 0.491 0.840
0.646 0.491 0.340
0.146 0.509 0.160
0.083 0.439 0.887
0.583 0.561 0.613
0.917 0.561 0.113
0.417 0.439 0.387
0.187 0.625 0.868
0.687 0.375 0.632
0.813 0.375 0.132
0.313 0.625 0.368
0.422 0.784 0.978
0.922 0.216 0.522
0.578 0.216 0.022
0.078 0.784 0.478
0.879 0.797 0.611
0.379 0.203 0.889
0.121 0.203 0.389
0.621 0.797 0.111
0.115 0.860 0.661
0.615 0.140 0.839
0.885 0.140 0.339
0.385 0.860 0.161
0.033 0.484 0.646
0.533 0.516 0.854
0.967 0.516 0.354
0.467 0.484 0.146
0.197 0.965 0.987
0.697 0.035 0.513
0.803 0.035 0.013
0.303 0.965 0.487
0.283 0.891 0.814
0.783 0.109 0.686
0.717 0.109 0.186
0.217 0.891 0.314
0.995 0.939 0.848
0.495 0.061 0.652
0.005 0.061 0.152
0.505 0.939 0.348
0.263 0.296 0.617
0.763 0.704 0.883
0.737 0.704 0.383
0.237 0.296 0.117
0.401 0.638 0.669
0.901 0.362 0.831
0.599 0.362 0.331
0.099 0.638 0.169
0.169 0.475 0.907
0.669 0.525 0.593
0.831 0.525 0.093
0.331 0.475 0.407
```

Values from the calculation:
- VASP energy (eV per atom) = -5.77
- magnetic moment (μB/atom) = 0.000

Compound: MgH20S2N2O14
Source: the Alexandria database
Functional: PBE
Structure: optimized geometry

Structure (POSCAR):
```
MgH20S2N2O14
1.0
-2.258 -0.640 -5.776
8.701 -3.692 0.122
-4.946 -11.550 3.213
Mg H S N O
2 40 4 4 28
Direct
0.000 0.000 0.000
0.000 0.500 0.500
0.324 0.535 0.358
0.676 0.965 0.858
0.676 0.465 0.642
0.324 0.035 0.142
0.333 0.403 0.433
0.667 0.097 0.933
0.667 0.597 0.567
0.333 0.903 0.067
0.020 0.363 0.684
0.980 0.137 0.184
0.980 0.637 0.316
0.020 0.863 0.816
0.946 0.234 0.604
0.054 0.266 0.104
0.054 0.766 0.396
0.946 0.734 0.896
0.107 0.746 0.626
0.893 0.754 0.126
0.893 0.254 0.374
0.107 0.246 0.874
0.338 0.716 0.593
0.662 0.784 0.093
0.662 0.284 0.407
0.338 0.216 0.907
0.351 0.673 0.938
0.649 0.827 0.438
0.649 0.327 0.062
0.351 0.173 0.562
0.509 0.585 0.875
0.491 0.915 0.375
0.491 0.415 0.125
0.509 0.085 0.625
0.422 0.714 0.812
0.578 0.786 0.312
0.578 0.286 0.188
0.422 0.214 0.688
0.229 0.547 0.845
0.771 0.953 0.345
0.229 0.047 0.655
0.771 0.453 0.155
0.751 0.397 0.851
0.249 0.103 0.351
0.249 0.603 0.149
0.751 0.897 0.649
0.375 0.629 0.867
0.625 0.871 0.367
0.625 0.371 0.133
0.375 0.129 0.633
0.174 0.170 0.899
0.705 0.003 0.930
0.705 0.503 0.570
0.295 0.997 0.070
0.032 0.340 0.611
0.968 0.160 0.111
0.968 0.660 0.389
0.032 0.840 0.889
0.174 0.670 0.601
0.826 0.830 0.101
0.826 0.330 0.399
0.295 0.497 0.430
0.978 0.886 0.678
0.022 0.614 0.178
0.022 0.114 0.322
0.604 0.380 0.758
0.638 0.777 0.574
0.362 0.723 0.074
0.362 0.223 0.426
0.638 0.277 0.926
0.773 0.044 0.600
0.227 0.456 0.100
0.227 0.956 0.400
0.773 0.544 0.900
0.604 0.880 0.742
0.396 0.620 0.242
0.396 0.120 0.258
0.978 0.386 0.822
```

Values from the calculation:
- VASP energy (eV per atom) = -5.32
- magnetic moment (μB/atom) = 0.009

Compound: MgReHN
Source: the Alexandria database
Functional: PBE
Structure: optimized geometry

Structure (POSCAR):
```
MgReHN
1.0
3.403 0.000 0.000
0.000 3.131 0.000
0.000 0.000 9.284
Mg Re H N
2 2 2 2
Direct
0.500 0.000 0.122
0.500 0.500 0.622
0.000 0.000 0.379
0.000 0.500 0.879
0.000 0.000 0.773
0.000 0.500 0.273
0.500 0.000 0.469
0.500 0.500 0.969
```

Values from the calculation:
- relative energy among the computed polymorphs (meV/atom) = 249
- magnetic moment (μB/atom) = 0.000

Compound: Mg2ReHN
Source: the Alexandria database
Functional: PBE
Structure: optimized geometry

Structure (POSCAR):
```
Mg2ReHN
1.0
-4.735 0.211 -1.218
0.267 -2.228 -1.424
-1.134 -2.660 3.948
Re Mg H N
1 2 1 1
Direct
0.500 0.500 0.500
0.000 0.000 0.500
0.500 0.000 0.000
0.000 0.500 0.000
0.000 0.000 0.000
```

Values from the calculation:
- VASP energy (eV per atom) = -4.82
- magnetic moment (μB/atom) = 0.166

Compound: MgReHN
Source: the Alexandria database
Functional: PBE
Structure: optimized geometry

Structure (POSCAR):
```
MgReHN
1.0
2.914 0.000 0.000
0.000 3.102 0.000
0.000 0.000 4.849
Mg Re H N
1 1 1 1
Direct
0.500 0.000 0.832
0.000 0.500 0.265
0.000 0.500 0.913
0.000 0.000 0.506
```

Values from the calculation:
- relative energy among the computed polymorphs (meV/atom) = 179
- magnetic moment (μB/atom) = 0.000

Compound: MgReHN
Source: the Alexandria database
Functional: PBE
Structure: optimized geometry

Structure (POSCAR):
```
MgReHN
1.0
-0.309 2.826 -0.812
-2.340 -1.808 -0.018
-1.024 1.276 4.828
Mg Re H N
1 1 1 1
Direct
0.667 0.333 0.803
0.333 0.667 0.303
0.333 0.667 0.970
0.000 0.000 0.550
```

Values from the calculation:
- relative energy among the computed polymorphs (meV/atom) = 0
- magnetic moment (μB/atom) = 0.000

Compound: MgReHN
Source: the Alexandria database
Functional: PBE
Structure: optimized geometry

Structure (POSCAR):
```
MgReHN
1.0
5.076 0.000 -0.011
0.000 2.930 0.000
-0.151 0.000 5.166
Mg Re H N
2 2 2 2
Direct
0.322 0.000 0.956
0.322 0.500 0.456
0.812 0.000 0.273
0.812 0.500 0.773
0.601 0.000 0.672
0.601 0.500 0.172
0.060 0.000 0.614
0.060 0.500 0.114
```

Values from the calculation:
- relative energy among the computed polymorphs (meV/atom) = 84
- magnetic moment (μB/atom) = 0.000

Compound: MgReHN
Source: the Alexandria database
Functional: PBE
Structure: optimized geometry

Structure (POSCAR):
```
MgReHN
1.0
-1.403 -2.258 -0.857
2.267 -0.909 -1.316
1.708 -2.198 4.459
Mg Re H N
1 1 1 1
Direct
0.349 0.500 0.242
0.428 0.000 0.727
0.976 0.000 0.964
0.884 0.000 0.442
```

Values from the calculation:
- relative energy among the computed polymorphs (meV/atom) = 184
- magnetic moment (μB/atom) = 0.000

Compound: MgReHN
Source: the Alexandria database
Functional: PBE
Structure: optimized geometry

Structure (POSCAR):
```
MgReHN
1.0
3.146 0.000 0.013
0.000 3.174 0.000
-0.016 0.000 3.984
Mg Re H N
1 1 1 1
Direct
0.646 0.000 0.492
0.141 0.500 0.992
0.420 0.000 0.992
0.138 0.500 0.492
```

Values from the calculation:
- relative energy among the computed polymorphs (meV/atom) = 103
- magnetic moment (μB/atom) = 0.000

Compound: MgReHN
Source: the Alexandria database
Functional: PBE
Structure: optimized geometry

Structure (POSCAR):
```
MgReHN
1.0
-1.282 -1.925 2.005
1.374 -1.093 -2.507
4.810 -0.313 2.774
Mg Re H N
1 1 1 1
Direct
0.333 0.667 0.625
0.667 0.333 0.098
0.333 0.667 0.159
0.667 0.333 0.430
```

Values from the calculation:
- relative energy among the computed polymorphs (meV/atom) = 358
- magnetic moment (μB/atom) = 0.000

Compound: MgReHN
Source: the Alexandria database
Functional: PBE
Structure: optimized geometry

Structure (POSCAR):
```
MgReHN
1.0
2.927 0.000 0.000
-1.464 2.535 0.000
0.000 0.000 15.661
Mg Re H N
3 3 3 3
Direct
0.000 0.000 0.153
0.333 0.667 0.820
0.667 0.333 0.487
0.000 0.000 0.327
0.333 0.667 0.993
0.667 0.333 0.660
0.000 0.000 0.436
0.333 0.667 0.103
0.667 0.333 0.769
0.000 0.000 0.911
0.333 0.667 0.578
0.667 0.333 0.244
```

Values from the calculation:
- relative energy among the computed polymorphs (meV/atom) = 48
- magnetic moment (μB/atom) = 0.000

Compound: MgReHN
Source: the Alexandria database
Functional: PBE
Structure: optimized geometry

Structure (POSCAR):
```
MgReHN
1.0
2.889 0.000 0.000
0.000 2.786 0.000
0.000 0.000 9.644
Mg Re H N
2 2 2 2
Direct
0.500 0.000 0.749
0.500 0.500 0.249
0.000 0.000 0.020
0.000 0.500 0.520
0.000 0.000 0.201
0.000 0.500 0.701
0.500 0.000 0.427
0.500 0.500 0.927
```

Values from the calculation:
- relative energy among the computed polymorphs (meV/atom) = 303
- magnetic moment (μB/atom) = 0.000

Compound: MgReHN
Source: the Alexandria database
Functional: PBE
Structure: optimized geometry

Structure (POSCAR):
```
MgReHN
1.0
3.683 0.000 0.000
0.000 2.820 0.000
0.000 0.000 7.575
Mg Re H N
2 2 2 2
Direct
0.000 0.000 0.455
0.000 0.500 0.955
0.500 0.000 0.174
0.500 0.500 0.674
0.000 0.000 0.177
0.000 0.500 0.677
0.500 0.000 0.880
0.500 0.500 0.380
```

Values from the calculation:
- relative energy among the computed polymorphs (meV/atom) = 278
- magnetic moment (μB/atom) = 0.000

Compound: MgHRuN2
Source: the Alexandria database
Functional: PBE
Structure: optimized geometry

Structure (POSCAR):
```
MgHRuN2
1.0
3.871 0.000 0.000
0.000 3.040 0.000
0.000 0.000 3.871
Ru Mg H N
1 1 1 2
Direct
0.000 0.500 0.000
0.500 0.500 0.500
0.000 0.000 0.000
0.000 0.000 0.500
0.500 0.000 0.000
```

Values from the calculation:
- VASP energy (eV per atom) = -5.12
- magnetic moment (μB/atom) = 0.000

Compound: MgHS2N
Source: the Alexandria database
Functional: PBE
Structure: optimized geometry

Structure (POSCAR):
```
MgHS2N
1.0
4.895 0.000 0.000
0.000 4.895 0.000
0.000 0.000 4.224
H S Mg N
1 2 1 1
Direct
0.500 0.500 0.500
0.000 0.500 0.000
0.500 0.000 0.000
0.000 0.000 0.000
0.000 0.000 0.500
```

Values from the calculation:
- relative energy among the computed polymorphs (meV/atom) = 713
- magnetic moment (μB/atom) = 0.847

Compound: MgHS2N
Source: the Alexandria database
Functional: PBE
Structure: optimized geometry

Structure (POSCAR):
```
MgHS2N
1.0
-4.193 -0.799 2.075
-0.057 -4.389 -1.805
1.252 -0.912 2.179
H S Mg N
1 2 1 1
Direct
0.000 0.000 0.000
0.000 0.500 0.000
0.500 0.000 0.000
0.500 0.500 0.500
0.000 0.000 0.500
```

Values from the calculation:
- relative energy among the computed polymorphs (meV/atom) = 0
- magnetic moment (μB/atom) = 0.051